Record 1
A plane-wave DFT calculation with PBE was carried out for crystalline Ga2AgSeF at its relaxed geometry.

Cell: 5.8800 5.8800 4.8912 Å, 90.00 90.00 90.00°
Space group P4/mmm (No. 123)
One atom of each set of equivalent atoms:
Ga 0.0000 0.5000 0.0000 [2 per cell]
Ag 0.0000 0.0000 0.5000 [1 per cell]
Se 0.0000 0.0000 0.0000 [1 per cell]
F 0.5000 0.5000 0.5000 [1 per cell]

Calculated values
- E_form (uncorrected) (eV/atom) = -0.104
- raw total energy (eV/cell) = -14.8



Record 2
A plane-wave DFT calculation with PBE was carried out for crystalline NdScIn2 at its relaxed geometry.

Cell: 4.8229 4.8229 4.4525 Å, 90.00 90.00 90.00°
Space group P4/mmm (No. 123)
One atom of each set of equivalent atoms:
Nd 0.0000 0.0000 0.0000 [1 per cell]
Sc 0.5000 0.5000 0.0000 [1 per cell]
In 0.0000 0.5000 0.5000 [2 per cell]

Calculated values
- formation energy (meV per atom) = -424
- raw total energy (eV/cell) = -18.3



Record 3
A plane-wave DFT calculation with PBE was carried out for crystalline Pm2SmZn2Ga2 at its relaxed geometry.

Cell: 4.4881 4.4881 28.4561 Å, 90.00 90.00 120.00°
Space group R-3m (No. 166, hexagonal axes)
One atom of each set of equivalent atoms:
Pm 0.0000 0.0000 0.1265 [6 per cell]
Sm 0.0000 0.0000 0.0000 [3 per cell]
Zn 0.0000 0.0000 0.3975 [6 per cell]
Ga 0.0000 0.0000 0.2651 [6 per cell]

Calculated values
- formation energy (meV per atom) = -406
- raw total energy (eV/cell) = -77.0



Record 4
A plane-wave DFT calculation with PBE was carried out for crystalline Nb2TcPbC at its relaxed geometry.

Cell: 5.1532 5.1532 4.9138 Å, 90.00 90.00 90.00°
Space group P4/mmm (No. 123)
One atom of each set of equivalent atoms:
Nb 0.0000 0.5000 0.0000 [2 per cell]
Tc 0.0000 0.0000 0.5000 [1 per cell]
Pb 0.0000 0.0000 0.0000 [1 per cell]
C 0.5000 0.5000 0.5000 [1 per cell]

Calculated values
- formation energy (meV per atom) = 3496
- raw total energy (eV/cell) = -26.0



Record 5
A plane-wave DFT calculation with PBE was carried out for crystalline TcTeOs2 at its relaxed geometry.

Cell: 4.6999 4.6999 2.9559 Å, 90.00 90.00 90.00°
Space group P4/mmm (No. 123)
One atom of each set of equivalent atoms:
Tc 0.0000 0.0000 0.0000 [1 per cell]
Te 0.5000 0.5000 0.0000 [1 per cell]
Os 0.0000 0.5000 0.5000 [2 per cell]

Calculated values
- E_form (uncorrected) (eV/atom) = 0.892
- relative energy among the computed polymorphs (meV per atom) = 321
- raw total energy (eV/cell) = -32.4



Record 6
A plane-wave DFT calculation with PBE was carried out for crystalline LaHo2Tm7 at its relaxed geometry.

Cell: 8.8175 16.5084 5.3866 Å, 90.00 127.60 90.00°
Space group C2/m (No. 12)
One atom of each set of equivalent atoms:
La 0.0000 0.0000 0.0000 [2 per cell]
Ho 0.0000 0.3002 0.5000 [4 per cell]
Tm 0.0000 0.2016 0.0000 [4 per cell]
Tm 0.0000 0.5000 0.5000 [2 per cell]
Tm 0.2466 0.3892 0.2466 [8 per cell]

Calculated values
- formation energy (meV per atom) = 47
- relative energy among the computed polymorphs (meV per atom) = 0
- raw total energy (eV/cell) = -89.8